# 1
Here is a relaxed structure of Ac3TlPd from Alexandria via LeMat-Bulk. Energies are from PBE.

Cell and atoms, written as extended XYZ:
```
20
Lattice="-1.074 3.950 -7.025 6.203 -5.906 -4.268 -6.062 -6.812 -2.902" Properties=species:S:1:pos:R:3 pbc="T T T"
Ac -1.505 -9.026 -10.488
Ac -1.937 2.087 -6.999
Ac 0.572 0.258 -3.706
Ac 1.004 -10.855 -7.195
Ac 1.424 0.117 -7.610
Ac 1.586 -6.579 -10.596
Ac -2.357 -8.885 -6.585
Ac -2.519 -2.189 -3.598
Ac -1.546 -5.455 -8.476
Ac -1.899 -1.483 -9.012
Ac 0.612 -3.313 -5.719
Ac 0.965 -7.285 -5.183
Tl 3.722 -5.082 -5.778
Tl -4.656 -3.686 -8.417
Tl -2.413 -5.535 -5.094
Tl 1.479 -3.233 -9.100
Pd -1.509 -6.099 -11.504
Pd -1.294 -0.792 -6.054
Pd 0.576 -2.669 -2.690
Pd 0.360 -7.976 -8.140
```

Output
Crystal system ... orthorhombic
Excess energy over the best structure of this formula in the dataset ... 0.044 eV/atom
E_tot ... -21.8 eV/f.u.
DFT formation energy ... -382 meV/atom



# 2
Here is a relaxed structure of Al7Cl6 from Alexandria via LeMat-Bulk. Energies are from PBE.

Cell and atoms, written as extended XYZ:
```
13
Lattice="12.445 0.144 0.086 11.092 5.646 0.086 11.092 2.729 4.944" Properties=species:S:1:pos:R:3 pbc="T T T"
Al 20.689 3.622 2.176
Al 20.008 4.922 4.619
Al 20.008 6.389 2.176
Al 13.940 4.897 2.941
Al 14.621 2.129 2.941
Al 14.621 3.597 0.498
Al 17.314 4.259 2.558
Cl 31.814 7.826 4.701
Cl 2.815 0.692 0.416
Cl 28.184 6.933 4.164
Cl 6.445 1.585 0.952
Cl 22.251 5.474 3.288
Cl 12.378 3.045 1.829
```

Output
Crystal system ... trigonal
Formation energy (no corrections) ... -219 meV/atom
E_tot ... -40.1 eV/f.u.



# 3
Here is a relaxed structure of Cd3W from Alexandria via LeMat-Bulk. Energies are from PBE.

Cell and atoms, written as extended XYZ:
```
8
Lattice="-3.219 1.270 -3.178 -3.425 -4.159 1.806 -2.406 3.679 3.908" Properties=species:S:1:pos:R:3 pbc="T T T"
Cd -3.873 -2.113 -0.395
Cd -3.497 -2.580 2.511
Cd -2.741 0.895 -0.339
Cd -2.365 0.429 2.567
Cd -4.688 -0.758 4.445
Cd -3.956 2.753 1.634
W -1.250 -1.518 0.659
W -4.987 -0.166 1.512
```

Output
Crystal system ... orthorhombic
Excess energy over the best structure of this formula in the dataset ... 0.367 eV/atom
E_tot ... -12.7 eV/f.u.
DFT formation energy ... 751 meV/atom



# 4
Here is a relaxed structure of CaLaAs from Alexandria via LeMat-Bulk. Energies are from PBE.

Cell and atoms, written as extended XYZ:
```
3
Lattice="7.214 0.010 -0.010 6.222 3.648 0.017 0.992 0.239 3.631" Properties=species:S:1:pos:R:3 pbc="T T T"
As 1.061 0.258 3.611
Ca 5.634 1.515 2.279
La 8.724 2.364 1.379
```

Output
Crystal system ... tetragonal
Excess energy over the best structure of this formula in the dataset ... 0.090 eV/atom
E_tot ... -13.9 eV/f.u.
DFT formation energy ... -783 meV/atom



# 5
Here is a relaxed structure of LiTcGeRh2 from Alexandria via LeMat-Bulk. Energies are from PBE.

Cell and atoms, written as extended XYZ:
```
5
Lattice="-3.995 -2.224 -0.332 2.059 -3.889 1.285 -0.926 0.993 4.489" Properties=species:S:1:pos:R:3 pbc="T T T"
Ge 0.000 0.000 0.000
Rh 1.029 -1.945 0.643
Rh -1.997 -1.112 -0.166
Tc -0.463 0.497 2.244
Li -1.431 -2.560 2.721
```

Output
Crystal system ... tetragonal
E_tot ... -28.0 eV/f.u.
DFT formation energy ... 717 meV/atom



# 6
Here is a relaxed structure of Pu2PaNi2Ge2 from Alexandria via LeMat-Bulk. Energies are from PBE.

Cell and atoms, written as extended XYZ:
```
7
Lattice="-1.702 0.401 3.521 -3.920 0.033 0.296 -1.873 -8.915 2.305" Properties=species:S:1:pos:R:3 pbc="T T T"
Pu -1.873 -4.870 1.844
Pu -5.622 -3.611 4.279
Pa 0.000 0.000 0.000
Ni -3.748 -1.382 2.735
Ni -3.747 -7.098 3.387
Ge -5.621 -6.490 4.607
Ge -1.874 -1.990 1.516
```

Output
Crystal system ... trigonal
E_tot ... -61.4 eV/f.u.
DFT formation energy ... -350 meV/atom



# 7
Here is a relaxed structure of NaSrTl from Alexandria via LeMat-Bulk. Energies are from PBE.

Cell and atoms, written as extended XYZ:
```
3
Lattice="3.919 0.000 0.000 0.000 5.532 0.000 0.000 -2.766 4.791" Properties=species:S:1:pos:R:3 pbc="T T T"
Sr 2.612 2.766 1.597
Tl 0.663 0.000 3.194
Na 0.644 0.000 0.000
```

Output
Crystal system ... trigonal
Excess energy over the best structure of this formula in the dataset ... 0.038 eV/atom
E_tot ... -5.9 eV/f.u.
DFT formation energy ... -176 meV/atom



# 8
Here is a relaxed structure of YSc2Zn2 from Alexandria via LeMat-Bulk. Energies are from PBE.

Cell and atoms, written as extended XYZ:
```
10
Lattice="8.255 0.000 0.000 0.000 8.255 0.000 0.000 0.000 3.134" Properties=species:S:1:pos:R:3 pbc="T T T"
Y 0.000 0.000 0.000
Y 4.128 4.128 0.000
Sc 3.069 7.197 0.000
Sc 7.197 5.186 0.000
Sc 5.186 1.058 0.000
Sc 1.058 3.069 0.000
Zn 1.410 5.537 1.567
Zn 5.537 6.845 1.567
Zn 6.845 2.718 1.567
Zn 2.718 1.410 1.567
```

Output
Crystal system ... tetragonal
Excess energy over the best structure of this formula in the dataset ... 0.112 eV/atom
E_tot ... -22.5 eV/f.u.
DFT formation energy ... -167 meV/atom



# 9
Here is a relaxed structure of Pm3Nd7 from Alexandria via LeMat-Bulk. Energies are from PBE.

Cell and atoms, written as extended XYZ:
```
20
Lattice="-4.437 -3.115 3.444 7.049 -0.359 8.757 -7.036 8.692 -1.203" Properties=species:S:1:pos:R:3 pbc="T T T"
Pm -5.327 0.954 4.327
Pm -7.850 4.071 3.896
Pm -5.322 3.943 7.036
Pm -0.093 3.565 7.444
Pm 2.431 0.448 7.875
Pm -0.097 0.577 4.734
Nd -1.945 -0.360 8.774
Nd -4.421 4.214 3.732
Nd -3.071 3.612 9.843
Nd 1.508 -2.044 10.626
Nd -3.079 -1.810 4.928
Nd -2.501 0.801 2.046
Nd -7.079 6.457 1.263
Nd -2.492 6.223 6.961
Nd -4.371 7.292 3.817
Nd -1.446 3.679 4.317
Nd -4.376 3.828 0.677
Nd 0.052 -2.000 7.099
Nd -2.873 1.613 6.599
Nd 0.057 1.464 10.239
```

Output
Crystal system ... hexagonal
Excess energy over the best structure of this formula in the dataset ... 0.154 eV/atom
E_tot ... -46.0 eV/f.u.
DFT formation energy ... 164 meV/atom



# 10
Here is a relaxed structure of Y3ZrBi from Alexandria via LeMat-Bulk. Energies are from PBE.

Cell and atoms, written as extended XYZ:
```
5
Lattice="5.738 0.000 0.000 0.000 5.738 0.000 0.000 0.000 5.738" Properties=species:S:1:pos:R:3 pbc="T T T"
Y 0.000 2.869 0.000
Y 0.000 0.000 2.869
Y 2.869 0.000 0.000
Bi 0.000 0.000 0.000
Zr 2.869 2.869 2.869
```

Output
Crystal system ... cubic
Excess energy over the best structure of this formula in the dataset ... 0.086 eV/atom
E_tot ... -29.1 eV/f.u.
DFT formation energy ... 548 meV/atom



# 11
Here is a relaxed structure of Pr5Ho2Cd4 from Alexandria via LeMat-Bulk. Energies are from PBE.

Cell and atoms, written as extended XYZ:
```
11
Lattice="3.578 0.000 0.000 0.000 8.343 -1.037 -1.789 -4.428 11.938" Properties=species:S:1:pos:R:3 pbc="T T T"
Pr 0.000 5.936 3.208
Pr 1.789 -2.021 7.692
Pr 0.000 1.123 2.708
Pr 1.789 0.000 0.000
Pr 1.789 2.792 8.192
Ho 1.789 3.298 4.780
Ho 0.000 0.617 6.121
Cd 1.789 3.620 1.427
Cd 0.000 5.727 -0.111
Cd 0.000 0.295 9.474
Cd 1.789 -1.812 11.011
```

Output
Crystal system ... monoclinic
E_tot ... -36.9 eV/f.u.
DFT formation energy ... -14 meV/atom



# 12
Here is a relaxed structure of Ca2AlAg from Alexandria via LeMat-Bulk. Energies are from PBE.

Cell and atoms, written as extended XYZ:
```
8
Lattice="8.274 0.000 0.000 0.000 8.274 0.000 4.137 4.137 3.360" Properties=species:S:1:pos:R:3 pbc="T T T"
Ca 6.330 2.068 0.840
Ca 1.944 6.205 0.840
Ca 6.205 6.081 2.520
Ca 10.342 10.467 2.520
Al 4.137 4.137 0.000
Al 4.137 8.274 1.680
Ag 0.000 0.000 0.000
Ag 8.274 4.137 1.680
```

Output
Crystal system ... tetragonal
E_tot ... -10.2 eV/f.u.
DFT formation energy ... 99 meV/atom